[1]
DFT (PBE-GGA) results for crystalline CaScAl at its relaxed geometry.

## Properties
Its calculated total energy is -4.19 eV/atom. The mass density comes out at 2.24 Mg/m³. The value obtained for the energy above the most stable polymorph in this dataset is 19.1 meV per atom. Its formation energy is -3.8 kcal/mol of atoms.

Lattice parameters (Å, degrees): 4.755 4.755 14.710 90.00 90.00 90.00
Space group I4/mmm (No. 139)
One atom of each set of equivalent atoms:
Ca: 0.000 0.000 0.173 x4
Sc: 0.000 0.500 0.000 x4
Al: 0.000 0.000 0.390 x4



[2]
DFT (PBE-GGA) results for crystalline Pm3ZnP2Rh9 at its relaxed geometry.

## Properties
Its calculated total energy is -6.75 eV/atom. The mass density comes out at 9.00 Mg/m³. Its formation energy is -13.5 kcal/mol of atoms.

Lattice parameters (Å, degrees): 6.2624 6.2624 8.0893 90.00 90.00 120.00
Space group P-3m1 (No. 164)
One atom of each set of equivalent atoms:
Pm: 0.0000 0.0000 0.0000 x1
Pm: 0.3333 0.6667 0.6514 x2
Zn: 0.0000 0.0000 0.5000 x1
P: 0.3333 0.6667 0.1632 x2
Rh: 0.0000 0.5000 0.0000 x3
Rh: 0.1657 0.3314 0.3090 x6



[3]
DFT (PBE-GGA) results for crystalline Pm4Pr2Y2Tm at its relaxed geometry.

## Properties
Its calculated total energy is -5.10 eV/atom. The mass density comes out at 6.57 Mg/m³. Its formation energy is 0.1 kcal/mol of atoms.

Lattice parameters (Å, degrees): 18.965 3.669 9.730 90.00 115.60 90.00
Space group C2/m (No. 12)
One atom of each set of equivalent atoms:
Pm: 0.019 0.000 0.332 x4
Pm: 0.186 0.500 0.334 x4
Pr: 0.165 0.000 0.999 x4
Y: 0.147 0.500 0.665 x4
Tm: 0.000 0.500 0.000 x2



Which of these has the highest mass density? Pm3ZnP2Rh9



What is the calculated total energy in the first record? -4.19 eV/atom



calculated total energy of number 2 (Pm3ZnP2Rh9)? -6.75 eV/atom



Which of these has the lowest mass density? CaScAl